{
  "formula": "LiVF6",
  "functional": "PBE+U",
  "state": "optimized geometry",
  "sg": "No. 163",
  "magnetic_moment_mub_per_cell": 0.261,
  "final_energy_ev_per_atom": -5.18,
  "lattice_angstrom": [[5.241, 0.000, 0.000], [-2.621, 4.539, 0.000], [0.000, 0.000, 9.375]],
  "species": ["V", "Li", "F", "F", "F", "F", "Li", "F", "V", "F", "F", "F", "F", "F", "F", "F"],
  "frac_coords": [[0.333, 0.667, 0.250], [0.000, 0.000, 0.250], [0.369, 0.061, 0.860], [0.308, 0.939, 0.360], [0.631, 0.939, 0.140], [0.939, 0.631, 0.640], [0.000, 0.000, 0.750], [0.061, 0.369, 0.360], [0.667, 0.333, 0.750], [0.061, 0.692, 0.140], [0.369, 0.308, 0.640], [0.308, 0.369, 0.140], [0.631, 0.692, 0.360], [0.692, 0.631, 0.860], [0.692, 0.061, 0.640], [0.939, 0.308, 0.860]]
}